First-principles (PBE) data for crystalline Dy3Y2Tm9 at its relaxed geometry, as listed in Alexandria via LeMat-Bulk.

```
Dy3Y2Tm9
1.0
6.142 0.000 0.000
1.866 8.436 0.000
0.470 1.524 8.495
Dy Y Tm
3 2 9
Direct
0.000 0.000 0.000
0.254 0.273 0.383
0.746 0.727 0.617
0.454 0.703 0.969
0.546 0.297 0.031
0.000 0.500 0.000
0.092 0.694 0.314
0.188 0.897 0.617
0.346 0.494 0.667
0.489 0.916 0.253
0.511 0.084 0.747
0.654 0.506 0.333
0.812 0.103 0.383
0.908 0.306 0.686
```

Calculated total energy: -4.659 eV/atom
Space group: P-1 (2)